# 1
! Ca2SbPb2 (GGA-PBE, optimized geometry); values from VASP
&SYSTEM
  ibrav = 0, nat = 10, ntyp = 3
/
ATOMIC_SPECIES
Ca 40.08 Ca.upf
Sb 121.76 Sb.upf
Pb 207.20 Pb.upf
CELL_PARAMETERS angstrom
9.143 0.000 0.000
0.000 9.143 0.000
0.000 0.000 3.720
ATOMIC_POSITIONS crystal
Ca 0.129 0.371 0.000
Ca 0.371 0.871 0.000
Ca 0.629 0.129 0.000
Ca 0.871 0.629 0.000
Sb 0.000 0.000 0.000
Sb 0.500 0.500 0.000
Pb 0.178 0.678 0.500
Pb 0.322 0.178 0.500
Pb 0.678 0.822 0.500
Pb 0.822 0.322 0.500
! **Space group**: P4/mbm (127)
! **Formation energy from raw total energies**: -222 meV/atom
! **Crystal system**: tetragonal


# 2
! LiAg5Pd4 (GGA-PBE, optimized geometry); values from VASP
&SYSTEM
  ibrav = 0, nat = 10, ntyp = 3
/
ATOMIC_SPECIES
Li 6.94 Li.upf
Ag 107.87 Ag.upf
Pd 106.42 Pd.upf
CELL_PARAMETERS angstrom
3.244 0.000 0.000
0.000 3.244 0.000
0.000 0.000 15.613
ATOMIC_POSITIONS crystal
Li 0.000 0.000 0.000
Ag 0.500 0.500 0.094
Ag 0.500 0.500 0.297
Ag 0.500 0.500 0.500
Ag 0.500 0.500 0.703
Ag 0.500 0.500 0.906
Pd 0.000 0.000 0.195
Pd 0.000 0.000 0.399
Pd 0.000 0.000 0.601
Pd 0.000 0.000 0.805
! **Energy**: -0.27633 Ry/atom
! **Space group**: P4/mmm (123)
! **Crystal system**: tetragonal